# Cu2SnHgSe2S2, optimized geometry, DFT GGA-PBE
data_Cu2SnHgSe2S2
_chemical_formula_sum 'Cu8 Sn4 Hg4 Se8 S8'
_space_group_name_H-M_alt 'F m m 2'
_space_group_IT_number 42
_space_group_name_Hall 'F 2 -2'
_cell_length_a 8.163
_cell_length_b 8.166
_cell_length_c 11.331
_cell_angle_alpha 90.00
_cell_angle_beta 90.00
_cell_angle_gamma 90.00
loop_
_atom_site_label
_atom_site_type_symbol
_atom_site_fract_x
_atom_site_fract_y
_atom_site_fract_z
Cu1 Cu 0.250 0.250 0.000
Sn1 Sn 0.000 0.000 0.233
Hg1 Hg 0.000 0.000 0.734
Se1 Se 0.000 0.243 0.381
S1 S 0.240 0.000 0.096
# Calculated volume, Å³/atom: 23.60
# E, eV per atom: -3.6526
# Mass density, Mg/m³: 5.9
# Excess energy over the best structure of this formula in the dataset, eV per atom: 0.004